(1)
Ba2CaNbPd, relaxed, DFT GGA-PBE; crystal system = tetragonal; formation enthalpy at 0 K = 38.8 kJ/mol of atoms; space group = No. 123
1.0
6.2905 0.0000 0.0000
0.0000 5.1557 0.0000
0.0000 0.0000 6.2905
Nb Ca Ba Pd
1 1 2 1
Cartesian
0.0000 2.5778 0.0000 Nb
3.1453 2.5778 3.1453 Ca
0.0000 0.0000 3.1453 Ba
3.1453 0.0000 0.0000 Ba
0.0000 0.0000 0.0000 Pd

=====

(2)
MnMoAsSe2, relaxed, DFT GGA-PBE; crystal system = tetragonal; uncorrected formation energy = 1.076 eV/atom; excess energy over the best structure of this formula in the dataset = 260.7 meV/atom; space group = No. 123
1.0
4.9015 0.0000 0.0000
0.0000 4.9015 0.0000
0.0000 0.0000 4.8836
Mo Mn As Se
1 1 1 2
Cartesian
0.0000 0.0000 0.0000 Mo
2.4508 2.4508 2.4418 Mn
0.0000 0.0000 2.4418 As
0.0000 2.4508 0.0000 Se
2.4508 0.0000 0.0000 Se

=====

(3)
Ho5Tm2Th2, relaxed, DFT GGA-PBE; crystal system = orthorhombic; excess energy over the best structure of this formula in the dataset = 0.0 meV/atom; formation enthalpy at 0 K = 24.1 kJ/mol of atoms; space group = No. 46
1.0
-2.4835 7.2979 8.9460
-6.1347 -2.3638 0.2253
6.4715 -7.6210 0.2191
Ho Tm Th
10 4 4
Cartesian
1.2376 -6.8910 2.1485 Ho
-5.9874 3.2011 7.3375 Ho
4.3306 -5.7846 1.9434 Ho
-2.9457 4.4585 7.3174 Ho
0.6413 0.4043 3.3708 Ho
-1.6169 -2.6400 5.9766 Ho
-2.5454 -0.4268 3.9134 Ho
1.5698 -1.8088 5.4340 Ho
-0.8306 -5.2033 0.4456 Ho
-0.1421 2.9688 8.9017 Ho
-2.8418 -2.5692 1.3513 Tm
0.0784 -0.3553 8.0618 Tm
-1.0021 2.2202 5.6608 Tm
-1.7612 -5.1447 3.7523 Tm
-0.1141 -0.0440 0.0042 Th
-4.4232 2.4231 4.5898 Th
0.5984 -2.7722 2.4102 Th
-3.7162 -0.2889 7.0159 Th

=====

(4)
Cd2TePb, relaxed, DFT GGA-PBE; crystal system = monoclinic; uncorrected formation energy = -0.035 eV/atom; excess energy over the best structure of this formula in the dataset = 35.0 meV/atom; space group = No. 6
1.0
3.9705 0.0000 0.0000
0.0000 3.9875 0.1775
0.0000 -0.3243 7.1641
Pb Te Cd
1 1 2
Cartesian
0.0000 2.3487 3.3996 Pb
1.9852 0.2269 5.8559 Te
0.0000 2.1666 7.2406 Cd
1.9852 0.4283 1.6804 Cd

=====

(5)
La11In9Ru4, relaxed, DFT GGA-PBE; crystal system = orthorhombic; formation enthalpy at 0 K = -45.6 kJ/mol of atoms; space group = No. 65
1.0
-1.6282 1.8369 -3.0947
10.6862 -3.2013 -7.5223
-9.5798 -9.4310 -0.5580
La In Ru
11 9 4
Cartesian
-2.5820 -10.5089 -4.8794 La
3.6884 -2.1234 -3.2009 La
4.2392 -8.4121 -7.2235 La
-3.1328 -4.2202 -0.8568 La
3.0900 -5.5363 -4.9120 La
-1.9836 -7.0960 -3.1684 La
7.4263 -4.2034 -6.4021 La
-6.3199 -8.4289 -1.6783 La
0.0000 0.0000 0.0000 La
0.7582 -8.6563 -5.5370 La
0.3482 -3.9761 -2.5433 La
4.4191 -2.6449 -6.4157 In
-4.9408 -8.1505 -4.7594 In
-5.1650 -5.5910 -3.1222 In
4.6432 -5.2043 -8.0529 In
-1.2861 -10.2532 -7.9303 In
0.7643 -0.5421 -3.2447 In
1.5388 -9.3849 -8.9011 In
-2.0605 -1.4105 -2.2740 In
-0.2609 -5.3977 -5.5875 In
-2.1868 -7.9886 -6.1122 Ru
1.6650 -2.8067 -5.0628 Ru
2.0060 -6.6998 -7.5530 Ru
-2.5277 -4.0956 -3.6220 Ru

=====

(6)
Sr2Sc4Ru, relaxed, DFT GGA-PBE; crystal system = tetragonal; formation enthalpy at 0 K = 9.7 kJ/mol of atoms; space group = No. 139
1.0
5.1204 0.0000 0.0000
0.0000 5.1204 0.0000
2.5602 2.5602 8.7960
Sc Ru Sr
4 1 2
Cartesian
5.1204 5.1204 2.4556 Sc
2.5602 2.5602 6.3403 Sc
0.0000 2.5602 0.0000 Sc
2.5602 0.0000 0.0000 Sc
0.0000 0.0000 0.0000 Ru
5.1204 5.1204 6.0812 Sr
2.5602 2.5602 2.7148 Sr

=====

N(E_F) across the listed records, respectively: 1.0057; 1.3889; 1.4889; 0.5508; 0.8300; 1.3489 states/eV/atom.